[1]
Below is a relaxed structure of RbSmCoO3, with properties calculated at the PBE+U level.

Cell and atoms, written as extended XYZ:
```
12
Lattice="6.178 -1.790 0.000 6.178 1.790 0.000 0.000 0.000 9.337" Properties=species:S:1:pos:R:3 pbc="T T T"
Co 5.603 0.000 2.334
Co 6.753 0.000 7.002
O 4.791 0.000 0.599
O 0.488 0.000 2.334
O 4.791 0.000 4.070
O 7.565 0.000 5.267
O 11.868 0.000 7.002
O 7.565 0.000 8.738
Rb 9.006 0.000 2.334
Rb 3.350 0.000 7.002
Sm 0.000 0.000 0.000
Sm 0.000 0.000 4.668
```

Summary:
Space-group type: No. 63
Total magnetization: 0.500 μB/atom
V: 206.5 Å³/cell
Crystal system: orthorhombic
E: -6.303 eV/atom

[2]
Below is a relaxed structure of RbTbCoO3, with properties calculated at the PBE+U level.

Cell and atoms, written as extended XYZ:
```
12
Lattice="-1.510 1.828 -2.603 -1.380 -7.741 -4.636 -4.776 -1.573 4.048" Properties=species:S:1:pos:R:3 pbc="T T T"
Co -1.335 0.845 -1.013
Co -5.642 -4.460 0.141
O -1.073 -3.916 -2.128
O -2.255 -0.730 -1.586
O -3.102 -5.476 -4.429
O -4.721 -2.885 0.713
O -5.255 -5.879 -1.080
O -5.903 0.301 1.255
Rb -3.921 -3.251 -2.390
Rb -3.055 -0.364 1.517
Tb -0.345 -1.935 -1.159
Tb -1.035 -5.805 -3.477
```

Summary:
Space-group type: No. 63
Total magnetization: 0.500 μB/atom
V: 199.6 Å³/cell
Crystal system: orthorhombic
E: -6.345 eV/atom

[3]
Below is a relaxed structure of Rb2CoTcO4, with properties calculated at the PBE+U level.

Cell and atoms, written as extended XYZ:
```
8
Lattice="-4.897 -2.666 1.004 3.000 -5.728 -0.575 3.100 -4.271 3.780" Properties=species:S:1:pos:R:3 pbc="T T T"
Co 3.070 -5.031 1.613
O 1.275 -4.572 1.500
O -1.348 -6.000 2.038
O 2.495 -6.694 2.182
O -0.015 -8.061 2.697
Rb -1.232 -3.327 1.141
Rb 4.902 -8.034 2.575
Tc 0.567 -6.276 2.086
```

Summary:
Space-group type: No. 38
Total magnetization: 0.115 μB/atom
V: 158.0 Å³/cell
Crystal system: orthorhombic
E: -5.782 eV/atom

[4]
Below is a relaxed structure of RbCoTe2O8, with properties calculated at the PBE+U level.

Cell and atoms, written as extended XYZ:
```
12
Lattice="4.976 0.000 0.000 -2.430 4.705 0.000 -0.594 -2.691 7.544" Properties=species:S:1:pos:R:3 pbc="T T T"
Co 0.000 0.000 0.000
O 1.008 3.644 0.163
O -1.459 3.371 0.905
O -0.679 0.747 1.612
O 1.928 1.749 2.840
O 0.025 0.264 4.703
O 2.632 1.266 5.931
O 3.411 -1.357 6.638
O 0.945 -1.630 7.381
Rb 2.191 -1.346 3.772
Te 2.703 1.661 1.210
Te -0.750 0.352 6.334
```

Summary:
Space-group type: No. 2
Total magnetization: 0.000 μB/atom
V: 176.6 Å³/cell
Crystal system: triclinic
E: -5.230 eV/atom

[5]
Below is a relaxed structure of CoReO3, with properties calculated at the PBE+U level.

Cell and atoms, written as extended XYZ:
```
5
Lattice="-2.097 -1.579 2.555 2.649 -2.441 0.666 1.415 2.229 2.540" Properties=species:S:1:pos:R:3 pbc="T T T"
Co 0.984 -0.896 2.880
O 0.276 -2.010 1.611
O -0.341 0.325 2.547
O 2.032 -0.106 1.603
Re 0.000 0.000 0.000
```

Summary:
Space-group type: No. 221
Total magnetization: 0.767 μB/atom
V: 49.2 Å³/cell
Crystal system: cubic
E: -6.195 eV/atom

[6]
Below is a relaxed structure of CoReO3, with properties calculated at the PBE+U level.

Cell and atoms, written as extended XYZ:
```
10
Lattice="2.405 1.389 5.066 -2.405 1.389 5.066 0.000 -2.777 5.066" Properties=species:S:1:pos:R:3 pbc="T T T"
Co 0.000 0.000 5.225
Co 0.000 0.000 9.973
O -0.767 1.404 6.346
O 0.833 1.366 8.853
O 1.600 -0.038 6.346
O -1.600 0.038 8.853
O -0.833 -1.366 6.346
O 0.767 -1.404 8.853
Re 0.000 0.000 2.451
Re 0.000 0.000 12.747
```

Summary:
Space-group type: No. 148
Total magnetization: 0.599 μB/atom
V: 101.5 Å³/cell
Crystal system: trigonal
E: -7.647 eV/atom

[7]
Below is a relaxed structure of CoReO3, with properties calculated at the PBE+U level.

Cell and atoms, written as extended XYZ:
```
10
Lattice="-2.871 -4.371 1.337 2.364 -4.704 1.193 0.012 -1.989 5.018" Properties=species:S:1:pos:R:3 pbc="T T T"
Co -0.124 -2.766 1.887
Co -0.372 -8.298 5.661
O 0.686 -5.426 2.008
O -1.053 -7.261 3.171
O -1.863 -4.601 3.050
O 1.368 -6.463 4.499
O 0.558 -3.803 4.378
O -1.182 -5.639 5.540
Re 0.000 0.000 0.000
Re -0.248 -5.532 3.774
```

Summary:
Space-group type: No. 167
Total magnetization: 0.403 μB/atom
V: 106.6 Å³/cell
Crystal system: trigonal
E: -7.503 eV/atom

[8]
Below is a relaxed structure of CoReO3, with properties calculated at the PBE+U level.

Cell and atoms, written as extended XYZ:
```
5
Lattice="-1.330 1.925 -3.088 -3.616 -1.072 0.890 -0.412 3.187 2.164" Properties=species:S:1:pos:R:3 pbc="T T T"
Co 0.000 0.000 0.000
O -2.473 0.427 -1.099
O -0.871 2.556 -0.462
O -2.014 1.058 1.527
Re -2.679 2.020 -0.017
```

Summary:
Space-group type: No. 221
Total magnetization: 0.505 μB/atom
V: 58.2 Å³/cell
Crystal system: cubic
E: -7.150 eV/atom

Copy entry 7 word for word.
Below is a relaxed structure of CoReO3, with properties calculated at the PBE+U level.

Cell and atoms, written as extended XYZ:
```
10
Lattice="-2.871 -4.371 1.337 2.364 -4.704 1.193 0.012 -1.989 5.018" Properties=species:S:1:pos:R:3 pbc="T T T"
Co -0.124 -2.766 1.887
Co -0.372 -8.298 5.661
O 0.686 -5.426 2.008
O -1.053 -7.261 3.171
O -1.863 -4.601 3.050
O 1.368 -6.463 4.499
O 0.558 -3.803 4.378
O -1.182 -5.639 5.540
Re 0.000 0.000 0.000
Re -0.248 -5.532 3.774
```

Summary:
Space-group type: No. 167
Total magnetization: 0.403 μB/atom
V: 106.6 Å³/cell
Crystal system: trigonal
E: -7.503 eV/atom